{
  "formula": "HoGeIr",
  "functional": "GGA-PBEsol",
  "state": "optimized geometry",
  "lattice_angstrom": [[-0.199, -3.073, -2.929], [-1.815, -4.433, 4.774], [-7.232, 1.639, -1.228]],
  "species": ["Ir", "Ir", "Ir", "Ir", "Ge", "Ge", "Ge", "Ge", "Ho", "Ho", "Ho", "Ho"],
  "frac_coords": [[0.250, 0.661, 0.435], [0.750, 0.339, 0.565], [0.250, 0.161, 0.065], [0.750, 0.839, 0.935], [0.750, 0.710, 0.611], [0.250, 0.790, 0.111], [0.250, 0.290, 0.389], [0.750, 0.210, 0.889], [0.250, 0.005, 0.692], [0.750, 0.495, 0.192], [0.250, 0.505, 0.808], [0.750, 0.995, 0.308]],
  "sg": "Pnma, No. 62",
  "formation_energy_ev_per_atom": -0.98,
  "e_tot_ev_per_atom": -7.547,
  "n_ef_per_ev_atom": 0.390
}